# CoBr, optimized geometry, DFT PBE
data_CoBr
_chemical_formula_sum 'Co2 Br2'
_space_group_name_H-M_alt 'P 63 m c'
_space_group_IT_number 186
_space_group_name_Hall 'P 6c -2c'
_cell_length_a 3.8684
_cell_length_b 3.8684
_cell_length_c 6.6384
_cell_angle_alpha 90.00
_cell_angle_beta 90.00
_cell_angle_gamma 120.00
loop_
_atom_site_label
_atom_site_type_symbol
_atom_site_fract_x
_atom_site_fract_y
_atom_site_fract_z
Co1 Co 0.3333 0.6667 0.0000
Br1 Br 0.3333 0.6667 0.3645
# Uncorrected energy   -8.14 eV per formula unit
# ΔE to the lowest computed polymorph   433 meV/atom
# E_form (uncorrected)   0.64 eV per formula unit